Record 1
{
  "formula": "La3PrAl8",
  "functional": "PBE",
  "state": "relaxed",
  "lattice_angstrom": [[-2.338, 4.241, 3.085], [-5.480, 1.489, -0.856], [-5.306, -4.298, 7.232]],
  "species": ["La", "Al", "La", "Al", "Al", "Al", "Pr", "Al", "La", "Al", "Al", "Al"],
  "fractional_positions": [[0.500, 0.500, 0.501], [0.938, 0.438, 0.686], [0.375, 0.375, 0.875], [0.687, 0.687, 0.938], [0.437, 0.936, 0.189], [0.936, 0.437, 0.189], [0.875, 0.875, 0.376], [0.438, 0.938, 0.686], [0.001, 0.001, 0.998], [0.437, 0.437, 0.189], [0.188, 0.188, 0.437], [0.938, 0.938, 0.686]],
  "m_tot_mub_per_cell": 0.00,
  "delta_e_f_mev_per_atom": -499,
  "polymorph_energy_ev_per_fu": 0.000
}

***

Record 2
{
  "formula": "LiAl3Ir",
  "functional": "PBE",
  "state": "relaxed",
  "lattice_angstrom": [[4.767, 0.000, 0.000], [0.000, 4.767, 0.000], [0.000, 0.000, 4.767]],
  "species": ["Al", "Li", "Al", "Ir", "Al"],
  "fractional_positions": [[0.000, 0.000, 0.500], [0.500, 0.500, 0.500], [0.500, 0.000, 0.000], [0.000, 0.000, 0.000], [0.000, 0.500, 0.000]],
  "m_tot_mub_per_cell": 0.00,
  "delta_e_f_mev_per_atom": -217,
  "polymorph_energy_ev_per_fu": 2.043
}

***

Record 3
{
  "formula": "La2PdPt2",
  "functional": "PBE",
  "state": "relaxed",
  "lattice_angstrom": [[3.893, 0.000, 0.000], [0.000, 3.893, 0.000], [1.946, 1.946, 8.036]],
  "species": ["Pt", "Pd", "La", "Pt", "La"],
  "fractional_positions": [[0.750, 0.250, 0.500], [0.000, 0.000, 0.000], [0.390, 0.390, 0.219], [0.250, 0.750, 0.500], [0.610, 0.610, 0.781]],
  "m_tot_mub_per_cell": 0.00,
  "delta_e_f_mev_per_atom": -815,
  "polymorph_energy_ev_per_fu": 1.167
}

***

Record 4
{
  "formula": "YErCuPt",
  "functional": "PBE",
  "state": "relaxed",
  "lattice_angstrom": [[-1.481, 0.465, 3.424], [0.964, -4.202, 0.988], [5.426, 1.271, 0.110]],
  "species": ["Cu", "Y", "Er", "Pt"],
  "fractional_positions": [[0.422, 0.000, 0.844], [0.860, 0.500, 0.721], [0.138, 0.000, 0.276], [0.579, 0.500, 0.159]],
  "m_tot_mub_per_cell": 0.00,
  "delta_e_f_mev_per_atom": -817,
  "polymorph_energy_ev_per_fu": 0.000
}

***

Record 5
{
  "formula": "La2PrTe",
  "functional": "PBE",
  "state": "relaxed",
  "lattice_angstrom": [[4.097, 0.000, 0.000], [2.049, 3.548, 0.000], [2.049, 1.183, 10.179]],
  "species": ["La", "La", "Te", "Pr"],
  "fractional_positions": [[0.262, 0.262, 0.213], [0.071, 0.071, 0.787], [0.667, 0.667, 0.000], [0.500, 0.500, 0.501]],
  "m_tot_mub_per_cell": 0.21,
  "polymorph_energy_ev_per_fu": 0.038,
  "formation_energy_uncorrected_mev_per_atom": -626
}

***

Record 6
{
  "formula": "Ac2LaThN4",
  "functional": "PBE",
  "state": "relaxed",
  "lattice_angstrom": [[-3.021, -0.739, -2.172], [3.907, -0.547, -5.248], [-0.624, -5.913, 2.882]],
  "species": ["Ac", "Ac", "La", "N", "Th", "N", "N", "N"],
  "fractional_positions": [[0.000, 0.500, 0.500], [0.500, 0.000, 0.500], [0.500, 0.500, 0.000], [0.000, 0.243, 0.771], [0.000, 0.000, 0.000], [0.000, 0.757, 0.229], [0.500, 0.769, 0.776], [0.500, 0.231, 0.224]],
  "m_tot_mub_per_cell": 0.00,
  "formation_energy_uncorrected_mev_per_atom": -1291
}

***

Record 7
{
  "formula": "CsTmFeBr6",
  "functional": "PBE",
  "state": "relaxed",
  "lattice_angstrom": [[7.063, 0.000, -0.003], [3.532, 6.116, 0.003], [-0.004, 0.007, 8.214]],
  "species": ["Br", "Br", "Cs", "Br", "Br", "Fe", "Br", "Br", "Tm"],
  "fractional_positions": [[0.383, 0.629, 0.308], [0.987, 0.380, 0.310], [0.000, 0.000, 0.000], [0.629, 0.383, 0.692], [0.632, 0.988, 0.310], [0.667, 0.667, 0.500], [0.380, 0.987, 0.690], [0.988, 0.632, 0.690], [0.334, 0.334, 0.500]],
  "m_tot_mub_per_cell": 4.00,
  "formation_energy_uncorrected_mev_per_atom": -1368
}

***

Record 8
{
  "formula": "Cd3NiI",
  "functional": "PBE",
  "state": "relaxed",
  "lattice_angstrom": [[6.043, 0.000, 0.000], [0.000, 6.043, 0.000], [0.000, 0.000, 6.043]],
  "species": ["Cd", "Cd", "Cd", "I", "Ni"],
  "fractional_positions": [[0.000, 0.500, 0.000], [0.000, 0.000, 0.500], [0.500, 0.000, 0.000], [0.000, 0.000, 0.000], [0.500, 0.500, 0.500]],
  "m_tot_mub_per_cell": 0.06,
  "polymorph_energy_ev_per_fu": 5.526,
  "formation_energy_uncorrected_mev_per_atom": 1218
}